Entry 1:
# NbSiCl2 (PBEsol, optimized geometry)
data_NbSiCl2
_cell_length_a 6.327
_cell_length_b 6.327
_cell_length_c 6.327
_cell_angle_alpha 90.00
_cell_angle_beta 90.00
_cell_angle_gamma 90.00
_symmetry_space_group_name_H-M 'F m -3 m'
_symmetry_Int_Tables_number 225
_symmetry_space_group_name_Hall '-F 4 2 3'
loop_
_atom_site_label
_atom_site_fract_x
_atom_site_fract_y
_atom_site_fract_z
Nb1 0.000 0.000 0.000
Si1 0.000 0.000 0.500
Cl1 0.250 0.250 0.250
# Uncorrected energy ... -78.61 eV per cell
# Energy relative to the elements, uncorrected ... 0.23 eV/atom
# Total magnetic moment ... 0.0 μB/cell


Entry 2:
# NbSi3Cl (PBEsol, optimized geometry)
data_NbSi3Cl
_cell_length_a 4.866
_cell_length_b 4.866
_cell_length_c 4.866
_cell_angle_alpha 90.00
_cell_angle_beta 90.00
_cell_angle_gamma 90.00
_symmetry_space_group_name_H-M 'P m -3 m'
_symmetry_Int_Tables_number 221
_symmetry_space_group_name_Hall '-P 4 2 3'
loop_
_atom_site_label
_atom_site_fract_x
_atom_site_fract_y
_atom_site_fract_z
Nb1 0.000 0.000 0.000
Si1 0.000 0.000 0.500
Cl1 0.500 0.500 0.500
# Uncorrected energy ... -26.98 eV per cell
# Energy relative to the elements, uncorrected ... 0.62 eV/atom
# Total magnetic moment ... 0.0 μB/cell


Entry 3:
# NbSnCl2 (PBEsol, optimized geometry)
data_NbSnCl2
_cell_length_a 6.679
_cell_length_b 6.679
_cell_length_c 6.679
_cell_angle_alpha 90.00
_cell_angle_beta 90.00
_cell_angle_gamma 90.00
_symmetry_space_group_name_H-M 'F m -3 m'
_symmetry_Int_Tables_number 225
_symmetry_space_group_name_Hall '-F 4 2 3'
loop_
_atom_site_label
_atom_site_fract_x
_atom_site_fract_y
_atom_site_fract_z
Nb1 0.000 0.000 0.000
Sn1 0.000 0.000 0.500
Cl1 0.250 0.250 0.250
# Uncorrected energy ... -73.53 eV per cell
# Energy relative to the elements, uncorrected ... 0.18 eV/atom
# Total magnetic moment ... 0.0 μB/cell


Entry 4:
# Sr2NbCl (PBEsol, optimized geometry)
data_Sr2NbCl
_cell_length_a 8.024
_cell_length_b 8.024
_cell_length_c 8.024
_cell_angle_alpha 90.00
_cell_angle_beta 90.00
_cell_angle_gamma 90.00
_symmetry_space_group_name_H-M 'F m -3 m'
_symmetry_Int_Tables_number 225
_symmetry_space_group_name_Hall '-F 4 2 3'
loop_
_atom_site_label
_atom_site_fract_x
_atom_site_fract_y
_atom_site_fract_z
Sr1 0.250 0.250 0.250
Nb1 0.000 0.000 0.000
Cl1 0.000 0.000 0.500
# Uncorrected energy ... -60.76 eV per cell
# Energy relative to the elements, uncorrected ... 0.33 eV/atom
# Total magnetic moment ... 21.9 μB/cell


Entry 5:
# SrNbCl3 (PBEsol, optimized geometry)
data_SrNbCl3
_cell_length_a 4.908
_cell_length_b 4.908
_cell_length_c 4.908
_cell_angle_alpha 90.00
_cell_angle_beta 90.00
_cell_angle_gamma 90.00
_symmetry_space_group_name_H-M 'P m -3 m'
_symmetry_Int_Tables_number 221
_symmetry_space_group_name_Hall '-P 4 2 3'
loop_
_atom_site_label
_atom_site_fract_x
_atom_site_fract_y
_atom_site_fract_z
Sr1 0.000 0.000 0.000
Nb1 0.500 0.500 0.500
Cl1 0.000 0.500 0.500
# Uncorrected energy ... -23.34 eV per cell
# Energy relative to the elements, uncorrected ... -0.93 eV/atom
# Total magnetic moment ... 1.3 μB/cell


Entry 6:
# SrNb2Cl (PBEsol, optimized geometry)
data_SrNb2Cl
_cell_length_a 6.801
_cell_length_b 6.801
_cell_length_c 6.801
_cell_angle_alpha 90.00
_cell_angle_beta 90.00
_cell_angle_gamma 90.00
_symmetry_space_group_name_H-M 'F m -3 m'
_symmetry_Int_Tables_number 225
_symmetry_space_group_name_Hall '-F 4 2 3'
loop_
_atom_site_label
_atom_site_fract_x
_atom_site_fract_y
_atom_site_fract_z
Sr1 0.000 0.000 0.000
Nb1 0.250 0.250 0.250
Cl1 0.000 0.000 0.500
# Uncorrected energy ... -80.19 eV per cell
# Energy relative to the elements, uncorrected ... 1.36 eV/atom
# Total magnetic moment ... 0.0 μB/cell


Entry 7:
# Sr3NbCl (PBEsol, optimized geometry)
data_Sr3NbCl
_cell_length_a 5.641
_cell_length_b 5.641
_cell_length_c 5.641
_cell_angle_alpha 90.00
_cell_angle_beta 90.00
_cell_angle_gamma 90.00
_symmetry_space_group_name_H-M 'P m -3 m'
_symmetry_Int_Tables_number 221
_symmetry_space_group_name_Hall '-P 4 2 3'
loop_
_atom_site_label
_atom_site_fract_x
_atom_site_fract_y
_atom_site_fract_z
Sr1 0.000 0.000 0.500
Nb1 0.500 0.500 0.500
Cl1 0.000 0.000 0.000
# Uncorrected energy ... -17.79 eV per cell
# Energy relative to the elements, uncorrected ... 0.11 eV/atom
# Total magnetic moment ... 4.0 μB/cell


Entry 8:
# Sr2NbTeCl (PBEsol, optimized geometry)
data_Sr2NbTeCl
_cell_length_a 5.927
_cell_length_b 5.927
_cell_length_c 4.593
_cell_angle_alpha 90.00
_cell_angle_beta 90.00
_cell_angle_gamma 90.00
_symmetry_space_group_name_H-M 'P 4/m m m'
_symmetry_Int_Tables_number 123
_symmetry_space_group_name_Hall '-P 4 2'
loop_
_atom_site_label
_atom_site_fract_x
_atom_site_fract_y
_atom_site_fract_z
Sr1 0.000 0.500 0.000
Nb1 0.000 0.000 0.000
Te1 0.500 0.500 0.500
Cl1 0.000 0.000 0.500
# Uncorrected energy ... -20.98 eV per cell
# Energy relative to the elements, uncorrected ... -0.19 eV/atom
# Total magnetic moment ... 0.0 μB/cell


Entry 9:
# TaNbCl2 (PBEsol, optimized geometry)
data_TaNbCl2
_cell_length_a 5.888
_cell_length_b 5.888
_cell_length_c 8.987
_cell_angle_alpha 90.00
_cell_angle_beta 90.00
_cell_angle_gamma 90.00
_symmetry_space_group_name_H-M 'I -4 2 d'
_symmetry_Int_Tables_number 122
_symmetry_space_group_name_Hall 'I -4 2bw'
loop_
_atom_site_label
_atom_site_fract_x
_atom_site_fract_y
_atom_site_fract_z
Ta1 0.000 0.000 0.000
Nb1 0.000 0.000 0.500
Cl1 0.247 0.250 0.125
# Uncorrected energy ... -98.62 eV per cell
# Energy relative to the elements, uncorrected ... 0.68 eV/atom
# Total magnetic moment ... 0.0 μB/cell


Entry 10:
# NbTcCl2 (PBEsol, optimized geometry)
data_NbTcCl2
_cell_length_a 6.119
_cell_length_b 6.119
_cell_length_c 6.119
_cell_angle_alpha 90.00
_cell_angle_beta 90.00
_cell_angle_gamma 90.00
_symmetry_space_group_name_H-M 'F m -3 m'
_symmetry_Int_Tables_number 225
_symmetry_space_group_name_Hall '-F 4 2 3'
loop_
_atom_site_label
_atom_site_fract_x
_atom_site_fract_y
_atom_site_fract_z
Nb1 0.000 0.000 0.000
Tc1 0.000 0.000 0.500
Cl1 0.250 0.250 0.250
# Uncorrected energy ... -96.22 eV per cell
# Energy relative to the elements, uncorrected ... 0.51 eV/atom
# Total magnetic moment ... 0.0 μB/cell


Entry 11:
# Nb3TeCl7 (PBEsol, optimized geometry)
data_Nb3TeCl7
_cell_length_a 6.8595
_cell_length_b 6.8595
_cell_length_c 12.9559
_cell_angle_alpha 90.00
_cell_angle_beta 90.00
_cell_angle_gamma 120.00
_symmetry_space_group_name_H-M 'P -3 m 1'
_symmetry_Int_Tables_number 164
_symmetry_space_group_name_Hall '-P 3 2"'
loop_
_atom_site_label
_atom_site_fract_x
_atom_site_fract_y
_atom_site_fract_z
Nb1 0.0522 0.5261 0.2447
Te1 0.3333 0.6667 0.4091
Cl1 0.1659 0.3318 0.6569
Cl2 0.1678 0.3356 0.1232
Cl3 0.3333 0.6667 0.8599
# Uncorrected energy ... -126.92 eV per cell
# Energy relative to the elements, uncorrected ... -1.22 eV/atom
# Total magnetic moment ... 0.0 μB/cell


Entry 12:
# NbTlCl6 (PBEsol, optimized geometry)
data_NbTlCl6
_cell_length_a 10.881
_cell_length_b 7.636
_cell_length_c 10.744
_cell_angle_alpha 90.00
_cell_angle_beta 92.31
_cell_angle_gamma 90.00
_symmetry_space_group_name_H-M 'C 1 2/c 1'
_symmetry_Int_Tables_number 15
loop_
_symmetry_equiv_pos_as_xyz
'x,y,z'
'-x,-y,-z'
'-x,y,-z+1/2'
'x,-y,z+1/2'
'x+1/2,y+1/2,z'
'-x+1/2,-y+1/2,-z'
'-x+1/2,y+1/2,-z+1/2'
'x+1/2,-y+1/2,z+1/2'
loop_
_atom_site_label
_atom_site_fract_x
_atom_site_fract_y
_atom_site_fract_z
Nb1 0.250 0.250 0.000
Tl1 0.000 0.008 0.750
Cl1 0.066 0.352 0.904
Cl2 0.165 0.037 0.507
Cl3 0.174 0.312 0.198
# Uncorrected energy ... -139.49 eV per cell
# Energy relative to the elements, uncorrected ... -1.17 eV/atom
# Total magnetic moment ... 0.0 μB/cell